Li2SiWF after structural relaxation. Source: Alexandria, functional PBE+U.

Cell: 5.372 4.088 5.372 Å, 90.00 90.00 90.00°
Positions (direct):
Si  0.500  0.500  0.500
Li  0.000  0.000  0.500
Li  0.500  0.000  0.000
W  0.000  0.000  0.000
F  0.000  0.500  0.000

Raw total energy: -3.312 eV per atom
Space-group type: P4/mmm (123)